[1]
Compound: Cs2SrCl7
Source: the Alexandria database
Functional: GGA-PBE
Structure: optimized geometry

Structure (POSCAR):
```
Cs2SrCl7
1.0
-7.0596 -2.0323 -1.8607
2.7437 -4.7127 -5.2625
-1.9420 -8.1119 0.7953
Cs Sr Cl
2 1 7
Direct
0.7500 0.2500 0.5000 Cs
0.2500 0.7500 0.5000 Cs
0.0000 0.0000 0.0000 Sr
0.5000 0.5000 0.0000 Cl
0.2182 0.2182 0.5636 Cl
0.7818 0.7818 0.4364 Cl
0.2674 0.2674 0.0000 Cl
0.7326 0.7326 0.0000 Cl
0.7326 0.2674 0.0000 Cl
0.2674 0.7326 0.0000 Cl
```

Properties
The value obtained for the formation energy from raw total energies is -1339 meV per atom. The value obtained for the volume is 36.99 Å³/atom. As for the density of states at the Fermi level: 0.384 states/eV/atom. The calculation puts the density at 2.70 Mg/m³. As for the symmetry: I4/mmm, No. 139.

***

[2]
Compound: Sr2TiRh
Source: the Alexandria database
Functional: GGA-PBE
Structure: optimized geometry

Structure (POSCAR):
```
Sr2TiRh
1.0
0.0000 3.7562 3.7562
3.7562 0.0000 3.7562
3.7562 3.7562 0.0000
Sr Rh Ti
2 1 1
Direct
0.2500 0.2500 0.2500 Sr
0.7500 0.7500 0.7500 Sr
0.5000 0.5000 0.5000 Rh
0.0000 0.0000 0.0000 Ti
```

Properties
For the formation energy, the calculation gives 0.62 eV/atom. The value obtained for the volume is 26.50 Å³/atom. As for the density of states at the Fermi level: 2.735 states/eV/atom. The calculation puts the density at 5.11 Mg/m³. As for the symmetry: Fm-3m, No. 225.

***

[3]
Compound: Hf2SnTe
Source: the Alexandria database
Functional: GGA-PBE
Structure: optimized geometry

Structure (POSCAR):
```
Hf2SnTe
1.0
6.4753 0.0000 0.0000
0.0000 6.4753 0.0000
3.2376 3.2376 6.4875
Te Hf Sn
2 4 2
Direct
0.0000 0.0000 0.0000 Te
0.7500 0.2500 0.5000 Te
0.6178 0.1250 0.2500 Hf
0.1322 0.6250 0.2500 Hf
0.3750 0.3822 0.7500 Hf
0.8750 0.8678 0.7500 Hf
0.5000 0.5000 0.0000 Sn
0.2500 0.7500 0.5000 Sn
```

Properties
The value obtained for the formation energy from raw total energies is 407 meV per atom. The value obtained for the volume is 34.00 Å³/atom. As for the density of states at the Fermi level: 0.855 states/eV/atom. The calculation puts the density at 7.37 Mg/m³. As for the symmetry: I-42d, No. 122.

***

> What is the formula in the third record?

Hf2SnTe